Entry 1:
Al2Tl2Se | PBE | optimized geometry

Values from the calculation:
Total moment   0.0 μB/f.u.
Theoretical density   6.98 g/cm³
Formation energy without anion corrections   109 meV/atom
Symmetry   I4/mmm (139)
Distance to the lowest polymorph of the same formula   53 meV per atom

a b c (Å): 9.140 9.140 9.140
angles (deg): 155.73 155.73 34.59
Sites, in units of the cell vectors:
Al 0.250 0.750 0.500
Al 0.750 0.250 0.500
Tl 0.096 0.096 0.000
Tl 0.904 0.904 0.000
Se 0.500 0.500 0.000


Entry 2:
AlTl3Se4 | PBE | optimized geometry

Values from the calculation:
Total moment   0.0 μB/f.u.
Theoretical density   6.36 g/cm³
Formation energy without anion corrections   -464 meV/atom
Symmetry   I-42m (121)

a b c (Å): 6.912 6.912 6.912
angles (deg): 114.20 114.20 100.39
Sites, in units of the cell vectors:
Al 0.000 0.000 0.000
Tl 0.250 0.750 0.500
Tl 0.500 0.500 0.000
Tl 0.750 0.250 0.500
Se 0.065 0.065 0.396
Se 0.331 0.935 0.000
Se 0.669 0.669 0.604
Se 0.935 0.331 0.000